1.
Here is a geometry-optimized CrSn2Os structure from the Alexandria database. Energies are from GGA-PBE.

Properties
relative energy among the computed polymorphs: 405.8 meV per atom
symmetry: I-42d, No. 122

Unit cell a=7.4776 b=7.4776 c=6.0601 alpha=51.91 beta=51.91 gamma=90.00
Last column: nearest neighbours and their distance in Å.
Atoms (fractional coordinates):
Sn 0.3750 0.3559 0.7500  2 Os 2.65, 2 Cr 2.84
Sn 0.8750 0.8941 0.7500  2 Os 2.65, 2 Cr 2.84
Sn 0.1059 0.6250 0.2500  2 Os 2.65, 2 Cr 2.84
Sn 0.6441 0.1250 0.2500  2 Os 2.65, 2 Cr 2.84
Os 0.7500 0.2500 0.5000  4 Sn 2.65, 2 Cr 2.96
Os 0.0000 0.0000 0.0000  4 Sn 2.65, 2 Cr 2.96
Cr 0.5000 0.5000 0.0000  4 Sn 2.84, 2 Os 2.96
Cr 0.2500 0.7500 0.5000  4 Sn 2.84, 2 Os 2.96

2.
Here is a geometry-optimized CrSnOsW2 structure from the Alexandria database. Energies are from GGA-PBE.

Properties
symmetry: P4/mmm, No. 123

Unit cell a=4.8008 b=4.6360 c=4.8008 alpha=90.00 beta=90.00 gamma=90.00
Last column: nearest neighbours and their distance in Å.
Atoms (fractional coordinates):
Cr 0.0000 0.5000 0.0000  2 Os 2.32
W 0.5000 0.0000 0.0000  2 Os 2.40
W 0.0000 0.0000 0.5000  2 Os 2.40
Os 0.0000 0.0000 0.0000  2 Cr 2.32, 4 W 2.40
Sn 0.5000 0.5000 0.5000  8 W 3.34, 4 Cr 3.39

3.
Here is a geometry-optimized SrCrOs2 structure from the Alexandria database. Energies are from GGA-PBE.

Properties
relative energy among the computed polymorphs: 321.5 meV per atom
symmetry: Imm2, No. 44

Unit cell a=5.8599 b=5.8599 c=5.8599 alpha=151.29 beta=128.81 gamma=59.75
Last column: nearest neighbours and their distance in Å.
Atoms (fractional coordinates):
Cr 0.2124 0.7124 0.5000  2 Os 2.63, 2 Cr 2.91
Os 0.7881 0.2881 0.5000  2 Os 2.57
Os 0.9968 0.9968 0.0000  2 Os 2.57, 2 Cr 2.63
Sr 0.5027 0.5027 0.0000  2 Sr 2.91, 6 Os 2.92-3.24

4.
Here is a geometry-optimized SrCrOs2 structure from the Alexandria database. Energies are from GGA-PBE.

Properties
relative energy among the computed polymorphs: 96.4 meV per atom
symmetry: P4mm, No. 99

Unit cell a=2.9310 b=2.9310 c=8.6754 alpha=90.00 beta=90.00 gamma=90.00
Last column: nearest neighbours and their distance in Å.
Atoms (fractional coordinates):
Cr 0.5000 0.5000 0.8125  4 Os 2.68, 4 Cr 2.93
Os 0.5000 0.5000 0.1977  8 Os 2.64-2.93
Os 0.0000 0.0000 0.0090  8 Os 2.64-2.93, 4 Cr 2.68
Sr 0.0000 0.0000 0.4808  4 Sr 2.93, 4 Os 3.21

5.
Here is a geometry-optimized SrCrOs structure from the Alexandria database. Energies are from GGA-PBE.

Properties
relative energy among the computed polymorphs: 621.8 meV per atom
symmetry: F-43m, No. 216

Unit cell a=4.6174 b=4.6174 c=4.6174 alpha=60.00 beta=60.00 gamma=60.00
Last column: nearest neighbours and their distance in Å.
Atoms (fractional coordinates):
Cr 0.5000 0.5000 0.5000  4 Os 2.83
Os 0.7500 0.7500 0.7500  4 Cr 2.83, 4 Sr 2.83
Sr 0.0000 0.0000 0.0000  4 Os 2.83

6.
Here is a geometry-optimized SrCrOs2 structure from the Alexandria database. Energies are from GGA-PBE.

Properties
relative energy among the computed polymorphs: 543.2 meV per atom
symmetry: Cmmm, No. 65

Unit cell a=5.3224 b=5.3224 c=2.7048 alpha=90.00 beta=90.00 gamma=112.56
Last column: nearest neighbours and their distance in Å.
Atoms (fractional coordinates):
Os 0.0000 0.0000 0.0000  4 Os 2.70-2.95, 4 Cr 2.99, 4 Sr 2.99
Os 0.5000 0.5000 0.0000  4 Os 2.70-2.95, 4 Sr 2.99, 4 Cr 2.99
Cr 0.0000 0.5000 0.5000  2 Cr 2.70, 2 Sr 2.95, 8 Os 2.99
Sr 0.5000 0.0000 0.5000  2 Sr 2.70, 2 Cr 2.95, 8 Os 2.99

7.
Here is a geometry-optimized SrCrOs2 structure from the Alexandria database. Energies are from GGA-PBE.

Properties
relative energy among the computed polymorphs: 428.7 meV per atom
symmetry: R3m, No. 160

Unit cell a=9.9089 b=9.9089 c=9.9089 alpha=16.38 beta=16.38 gamma=16.38
Last column: nearest neighbours and their distance in Å.
Atoms (fractional coordinates):
Os 0.0018 0.0018 0.0018  3 Cr 2.57, 9 Os 2.70-2.82
Os 0.2618 0.2618 0.2618  9 Os 2.70-2.82
Sr 0.4999 0.4999 0.4999  6 Sr 2.82
Cr 0.7364 0.7364 0.7364  3 Os 2.57, 6 Cr 2.82

8.
Here is a geometry-optimized SrCrOs3 structure from the Alexandria database. Energies are from GGA-PBE.

Properties
relative energy among the computed polymorphs: 0.0 meV per atom
symmetry: Pm-3m, No. 221

Unit cell a=4.5814 b=4.5814 c=4.5814 alpha=90.00 beta=90.00 gamma=90.00
Last column: nearest neighbours and their distance in Å.
Atoms (fractional coordinates):
Os 0.0000 0.0000 0.5000  2 Cr 2.29
Os 0.5000 0.0000 0.0000  2 Cr 2.29
Os 0.0000 0.5000 0.0000  2 Cr 2.29
Cr 0.0000 0.0000 0.0000  6 Os 2.29
Sr 0.5000 0.5000 0.5000  12 Os 3.24

9.
Here is a geometry-optimized SrCrOs2 structure from the Alexandria database. Energies are from GGA-PBE.

Properties
relative energy among the computed polymorphs: 664.6 meV per atom
symmetry: P4/mmm, No. 123

Unit cell a=4.7226 b=4.7226 c=3.1405 alpha=90.00 beta=90.00 gamma=90.00
Last column: nearest neighbours and their distance in Å.
Atoms (fractional coordinates):
Os 0.5000 0.5000 0.0000  4 Cr 2.84, 4 Sr 2.84, 2 Os 3.14
Os 0.0000 0.0000 0.0000  4 Cr 2.84, 4 Sr 2.84, 2 Os 3.14
Sr 0.5000 0.0000 0.5000  8 Os 2.84, 2 Sr 3.14
Cr 0.0000 0.5000 0.5000  8 Os 2.84, 2 Cr 3.14

10.
Here is a geometry-optimized SrCrOs2 structure from the Alexandria database. Energies are from GGA-PBE.

Properties
relative energy among the computed polymorphs: 513.6 meV per atom
symmetry: F-43m, No. 216

Unit cell a=4.6235 b=4.6235 c=4.6235 alpha=60.00 beta=60.00 gamma=60.00
Last column: nearest neighbours and their distance in Å.
Atoms (fractional coordinates):
Sr 0.2500 0.2500 0.2500  4 Cr 2.83, 4 Os 2.83
Cr 0.5000 0.5000 0.5000  4 Os 2.83, 4 Sr 2.83
Os 0.0000 0.0000 0.0000  4 Sr 2.83, 4 Os 2.83
Os 0.7500 0.7500 0.7500  4 Cr 2.83, 4 Os 2.83

11.
Here is a geometry-optimized SrCrOs structure from the Alexandria database. Energies are from GGA-PBE.

Properties
relative energy among the computed polymorphs: 1581.6 meV per atom
symmetry: F-43m, No. 216

Unit cell a=4.7861 b=4.7861 c=4.7861 alpha=60.00 beta=60.00 gamma=60.00
Last column: nearest neighbours and their distance in Å.
Atoms (fractional coordinates):
Os 0.5000 0.5000 0.5000  4 Sr 2.93
Cr 0.0000 0.0000 0.0000  4 Sr 2.93
Sr 0.7500 0.7500 0.7500  4 Os 2.93, 4 Cr 2.93

12.
Here is a geometry-optimized SrCrOs2 structure from the Alexandria database. Energies are from GGA-PBE.

Properties
relative energy among the computed polymorphs: 583.3 meV per atom
symmetry: Fm-3m, No. 225

Unit cell a=4.5558 b=4.5558 c=4.5558 alpha=60.00 beta=60.00 gamma=60.00
Last column: nearest neighbours and their distance in Å.
Atoms (fractional coordinates):
Sr 0.5000 0.5000 0.5000  8 Os 2.79
Cr 0.0000 0.0000 0.0000  8 Os 2.79
Os 0.7500 0.7500 0.7500  4 Cr 2.79, 4 Sr 2.79
Os 0.2500 0.2500 0.2500  4 Cr 2.79, 4 Sr 2.79

no.,density of states at the Fermi level (states/eV/f.u.),DFT formation energy (eV/atom)
1,2.57,0.783
2,6.34,1.558
3,4.30,0.894
4,3.39,0.669
5,4.26,1.155
6,4.14,1.116
7,4.82,1.001
8,4.61,1.165
9,5.95,1.237
10,5.66,1.086
11,8.83,2.115
12,2.24,1.156